VASP calculation (PBE-GGA) on FeCuSiSe after structural relaxation.

- M_tot: 0.9 μB per formula unit
- Uncorrected energy: -21.40 eV per formula unit
- Uncorrected formation energy: 0.0154 eV per atom

Cell: 2.7218 3.7669 6.0071 Å, 90.00 90.00 90.00°
Atoms (fractional coordinates):
1 Si 0.5000 0.5000 0.0115
2 Se 0.0000 0.0000 0.5949
3 Fe 0.0000 0.0000 0.9948
4 Cu 0.0000 0.5000 0.3425